Entry from the Alexandria database: an optimized crystal structure of ZnHPdPt2 (GGA-PBE).

Structure (POSCAR):
```
ZnHPdPt2
1.0
3.9614 0.0000 0.0000
0.0000 3.9614 0.0000
0.0000 0.0000 4.0553
Zn H Pd Pt
1 1 1 2
direct
0.0000 0.0000 0.0000
0.5000 0.5000 0.5000
0.5000 0.5000 0.0000
0.0000 0.5000 0.5000
0.5000 0.0000 0.5000
```

Summary:
ρ (g/cm3): 14.691
Energy above the lowest structure with this stoichiometry (meV/atom): 0
Fermi-level density of states (states/eV per atom): 0.983
Crystal system: tetragonal
Total magnetic moment (μB per atom): 0.000